## Cr2HgCl (PBE-GGA)

Data for a geometry-optimized Cr2HgCl structure.

Computed properties:
E_form (uncorrected), kJ per mole of atoms: 8.55
Space group: Pm
Calculated volume, Å³ per atom: 19.84

Unit cell a=3.145 b=2.988 c=8.504 alpha=90.00 beta=96.64 gamma=90.00
Fractional coordinates of all 4 atoms:
Cr 0.000 0.000 0.000
Cr 0.444 0.500 0.827
Hg 0.866 0.000 0.588
Cl 0.070 0.500 0.211